Entry from Alexandria via LeMat-Bulk: a relaxed structure of La2IrRu2 (GGA-PBE).

Unit cell a=9.1328 b=9.1328 c=9.1328 alpha=157.44 beta=157.44 gamma=32.12
Fractional positions:
Ir1 0.0000 0.0000 0.0000
La1 0.4002 0.4002 0.0000
Ru1 0.2500 0.7500 0.5000
La2 0.5998 0.5998 0.0000
Ru2 0.7500 0.2500 0.5000

Output
**E_form**: -0.092 eV per atom
**Energy above the lowest structure with this stoichiometry**: 74 meV per atom

---

Entry from Alexandria via LeMat-Bulk: a relaxed structure of La8IrRu2 (GGA-PBE).

Unit cell a=6.6833 b=7.2327 c=8.3563 alpha=115.64 beta=106.29 gamma=90.00
Fractional positions:
La1 0.7198 0.4193 0.8386
La2 0.8330 0.3627 0.2420
La3 0.6584 0.8208 0.6416
Ir1 0.0000 0.0000 0.0000
La4 0.3416 0.1792 0.3584
La5 0.1670 0.6373 0.7580
La6 0.8330 0.8794 0.2420
Ru1 0.2038 0.7353 0.4706
La7 0.1670 0.1206 0.7580
La8 0.2802 0.5807 0.1614
Ru2 0.7962 0.2647 0.5294

Output
**E_form**: -0.254 eV per atom

---

Entry from Alexandria via LeMat-Bulk: a relaxed structure of La8IrRu3 (GGA-PBE).

Unit cell a=5.6810 b=9.1637 c=9.1067 alpha=107.38 beta=108.17 gamma=90.00
Fractional positions:
La1 0.8821 0.3162 0.7642
La2 0.5575 0.3407 0.1151
Ru1 0.6027 0.6998 0.2054
La3 0.3443 0.0021 0.6885
Ru2 0.7051 0.2982 0.4101
La4 0.4467 0.6529 0.8934
Ru3 0.3971 0.2933 0.7941
Ir1 0.2887 0.6833 0.5774
La5 0.1186 0.6844 0.2373
La6 0.7722 0.6642 0.5444
La7 0.2263 0.3303 0.4525
La8 0.6571 0.0043 0.3141

Output
**E_form**: -0.289 eV per atom

---

Entry from Alexandria via LeMat-Bulk: a relaxed structure of LaIr2Ru2 (GGA-PBE).

Unit cell a=4.1410 b=4.1410 c=6.2612 alpha=70.69 beta=70.69 gamma=90.00
Fractional positions:
Ru1 0.2500 0.7500 0.5000
Ru2 0.7500 0.2500 0.5000
Ir1 0.3904 0.3904 0.2193
La1 0.0000 0.0000 0.0000
Ir2 0.6096 0.6096 0.7807

Output
**E_form**: -0.080 eV per atom
**Energy above the lowest structure with this stoichiometry**: 0 meV per atom

---

no.,ρ (g/cm3),energy (eV/atom)
1,10.0,-7.5452
2,7.2,-6.3292
3,6.2,-6.6316
4,12.7,-8.3198